Ta3GePt: relaxed, PBE. Values from VASP.

The structure in Quantum ESPRESSO input format:
```
&SYSTEM
  ibrav = 0, nat = 5, ntyp = 3
/
ATOMIC_SPECIES
Ta 180.95 Ta.upf
Pt 195.08 Pt.upf
Ge 72.64 Ge.upf
CELL_PARAMETERS angstrom
-0.956 -3.808 2.517
4.542 -0.538 0.913
-0.455 2.639 3.819
ATOMIC_POSITIONS crystal
Ta 0.000 0.500 0.000
Ta 0.000 0.000 0.500
Ta 0.500 0.000 0.000
Pt 0.500 0.500 0.500
Ge 0.000 0.000 0.000
```

Computed properties:
- Space-group type: No. 221

=====

Ta2GePt: relaxed, PBE. Values from VASP.

The structure in Quantum ESPRESSO input format:
```
&SYSTEM
  ibrav = 0, nat = 8, ntyp = 3
/
ATOMIC_SPECIES
Ta 180.95 Ta.upf
Pt 195.08 Pt.upf
Ge 72.64 Ge.upf
CELL_PARAMETERS angstrom
-5.431 -2.842 3.818
2.275 -6.639 -1.705
0.079 -4.772 3.390
ATOMIC_POSITIONS crystal
Ta 0.124 0.625 0.250
Ta 0.375 0.374 0.750
Ta 0.626 0.125 0.250
Ta 0.875 0.876 0.750
Pt 0.000 0.000 0.000
Pt 0.750 0.250 0.500
Ge 0.500 0.500 0.000
Ge 0.250 0.750 0.500
```

Computed properties:
- Space-group type: No. 122

=====

TaGe2Pt: relaxed, PBE. Values from VASP.

The structure in Quantum ESPRESSO input format:
```
&SYSTEM
  ibrav = 0, nat = 4, ntyp = 3
/
ATOMIC_SPECIES
Ge 72.64 Ge.upf
Ta 180.95 Ta.upf
Pt 195.08 Pt.upf
CELL_PARAMETERS angstrom
2.947 0.000 0.000
1.473 2.552 0.000
1.473 0.851 9.274
ATOMIC_POSITIONS crystal
Ge 0.087 0.087 0.738
Ge 0.913 0.913 0.262
Ta 0.500 0.500 0.500
Pt 0.000 0.000 0.000
```

Computed properties:
- Space-group type: No. 166

=====

Ta2GePt2: relaxed, PBE. Values from VASP.

The structure in Quantum ESPRESSO input format:
```
&SYSTEM
  ibrav = 0, nat = 10, ntyp = 3
/
ATOMIC_SPECIES
Pt 195.08 Pt.upf
Ta 180.95 Ta.upf
Ge 72.64 Ge.upf
CELL_PARAMETERS angstrom
7.970 0.000 0.000
0.000 7.970 0.000
0.000 0.000 2.826
ATOMIC_POSITIONS crystal
Pt 0.628 0.128 0.000
Pt 0.372 0.872 0.000
Pt 0.128 0.372 0.000
Pt 0.872 0.628 0.000
Ta 0.334 0.166 0.500
Ta 0.166 0.666 0.500
Ta 0.666 0.834 0.500
Ta 0.834 0.334 0.500
Ge 0.000 0.000 0.000
Ge 0.500 0.500 0.000
```

Computed properties:
- Space-group type: No. 127

=====

TaGe3Pt: relaxed, PBE. Values from VASP.

The structure in Quantum ESPRESSO input format:
```
&SYSTEM
  ibrav = 0, nat = 5, ntyp = 3
/
ATOMIC_SPECIES
Ge 72.64 Ge.upf
Pt 195.08 Pt.upf
Ta 180.95 Ta.upf
CELL_PARAMETERS angstrom
4.803 0.000 0.000
0.000 4.803 0.000
0.000 0.000 4.803
ATOMIC_POSITIONS crystal
Ge 0.500 0.000 0.000
Ge 0.000 0.500 0.000
Ge 0.000 0.000 0.500
Pt 0.000 0.000 0.000
Ta 0.500 0.500 0.500
```

Computed properties:
- Space-group type: No. 221

=====

TaGePt3: relaxed, PBE. Values from VASP.

The structure in Quantum ESPRESSO input format:
```
&SYSTEM
  ibrav = 0, nat = 5, ntyp = 3
/
ATOMIC_SPECIES
Pt 195.08 Pt.upf
Ge 72.64 Ge.upf
Ta 180.95 Ta.upf
CELL_PARAMETERS angstrom
-1.742 1.680 -4.256
-4.567 -0.924 1.505
-0.288 4.505 1.895
ATOMIC_POSITIONS crystal
Pt 0.500 0.000 0.000
Pt 0.000 0.500 0.000
Pt 0.000 0.000 0.500
Ge 0.500 0.500 0.500
Ta 0.000 0.000 0.000
```

Computed properties:
- Space-group type: No. 221

=====

Number 1: V 101.5 Å³/f.u., calculated formation energy 4.86 eV/f.u., VASP energy -8.271 eV per atom. Number 2: V 74.6 Å³/f.u., calculated formation energy -0.03 eV/f.u., VASP energy -8.599 eV per atom. Number 3: V 69.7 Å³/f.u., calculated formation energy -0.39 eV/f.u., VASP energy -6.880 eV per atom. Number 4: V 89.8 Å³/f.u., calculated formation energy -1.29 eV/f.u., VASP energy -8.339 eV per atom. Number 5: V 110.8 Å³/f.u., calculated formation energy 4.97 eV/f.u., VASP energy -5.355 eV per atom. Number 6: V 117.4 Å³/f.u., calculated formation energy 4.20 eV/f.u., VASP energy -6.078 eV per atom.